# TcPt2Rh (PBEsol, optimized geometry)
# ΔE to the lowest computed polymorph: 8.9 kJ/mol of atoms
# uncorrected energy: -8.40 eV per atom
# M_tot: 0.01 μB per cell
# formation enthalpy at 0 K: -0.071 eV/atom
data_TcPt2Rh
_symmetry_space_group_name_H-M 'R -3 m'
_symmetry_Int_Tables_number 166
_symmetry_space_group_name_Hall '-R 3 2"'
_cell_length_a 2.7241
_cell_length_b 2.7241
_cell_length_c 26.6380
_cell_angle_alpha 90.00
_cell_angle_beta 90.00
_cell_angle_gamma 120.00
loop_
_atom_site_label
_atom_site_type_symbol
_atom_site_fract_x
_atom_site_fract_y
_atom_site_fract_z
_atom_site_occupancy
Tc1 Tc 0.0000 0.0000 0.0000 1
Pt1 Pt 0.0000 0.0000 0.2513 1
Rh1 Rh 0.0000 0.0000 0.5000 1